# 1
Below is a crystal of K3Rb relaxed with PBEsol, with properties calculated at the SCAN level.

Computed properties:
Crystal system ... tetragonal
Energy of formation ... 0.002 eV per atom
E ... -91.435 eV/cell

a = 6.697 Å, b = 6.697 Å, c = 13.126 Å
α = 90.00°, β = 90.00°, γ = 90.00°
Space group I4/mmm (No. 139)
Symmetry-distinct sites (fractional):
1 K 0.000 0.000 0.000 x2
2 K 0.000 0.500 0.250 x4
3 Rb 0.000 0.000 0.500 x2

=====

# 2
Below is a crystal of Mn2SiMo relaxed with PBEsol, with properties calculated at the SCAN level.

Computed properties:
Crystal system ... tetragonal
E_form (uncorrected) ... -0.9 eV/f.u.
E ... -82.304 eV/cell

a = 3.992 Å, b = 3.992 Å, c = 2.942 Å
α = 90.00°, β = 90.00°, γ = 90.00°
Space group P4/mmm (No. 123)
Symmetry-distinct sites (fractional):
1 Mn 0.000 0.500 0.000 x2
2 Si 0.000 0.000 0.500 x1
3 Mo 0.500 0.500 0.500 x1

=====

- The highest E belongs to which entry?
  Mn2SiMo

=====

- What is the formula in the first record?
  K3Rb

=====

- Which value of E does entry 1 give?
  -91.435 eV/cell

=====

- What is the E in the second record?
  -82.304 eV/cell